[1]
The following is a GGA-PBE calculation of a relaxed structure of PrEuAgPb, from Alexandria.

The value obtained for the formation energy is -0.4469 eV per atom. Its density of states at the Fermi level is 2.8643 states/eV per atom.

It has space group F-43m (No. 216), with a = 7.7943 Å, b = 7.7943 Å, c = 7.7943 Å, α = 90.00°, β = 90.00° and γ = 90.00°. The distinct sites, in fractional coordinates, are Pr at (0.0000, 0.0000, 0.0000), Eu at (0.0000, 0.0000, 0.5000), Ag at (0.2500, 0.2500, 0.7500) and Pb at (0.2500, 0.2500, 0.2500).



[2]
The following is a GGA-PBE calculation of a relaxed structure of EuAgPtPb, from Alexandria.

The value obtained for the formation energy is -0.3808 eV per atom. Its density of states at the Fermi level is 3.3356 states/eV per atom.

It has space group F-43m (No. 216), with a = 7.1623 Å, b = 7.1623 Å, c = 7.1623 Å, α = 90.00°, β = 90.00° and γ = 90.00°. The distinct sites, in fractional coordinates, are Eu at (0.0000, 0.0000, 0.0000), Ag at (0.2500, 0.2500, 0.2500), Pt at (0.2500, 0.2500, 0.7500) and Pb at (0.0000, 0.0000, 0.5000).



[3]
The following is a GGA-PBE calculation of a relaxed structure of EuAgSbPb, from Alexandria.

Its density of states at the Fermi level is 0.3955 states/eV per atom. As for the uncorrected formation energy: -0.32 eV/atom.

It has space group F-43m (No. 216), with a = 7.6748 Å, b = 7.6748 Å, c = 7.6748 Å, α = 90.00°, β = 90.00° and γ = 90.00°. The distinct sites, in fractional coordinates, are Eu at (0.0000, 0.0000, 0.0000), Ag at (0.2500, 0.2500, 0.7500), Sb at (0.2500, 0.2500, 0.2500) and Pb at (0.0000, 0.0000, 0.5000).



[4]
The following is a GGA-PBE calculation of a relaxed structure of EuScAgPb, from Alexandria.

The value obtained for the formation energy is -0.3469 eV per atom. Its density of states at the Fermi level is 2.1484 states/eV per atom.

It has space group F-43m (No. 216), with a = 7.4440 Å, b = 7.4440 Å, c = 7.4440 Å, α = 90.00°, β = 90.00° and γ = 90.00°. The distinct sites, in fractional coordinates, are Eu at (0.0000, 0.0000, 0.0000), Sc at (0.0000, 0.0000, 0.5000), Ag at (0.2500, 0.2500, 0.2500) and Pb at (0.2500, 0.2500, 0.7500).



[5]
The following is a GGA-PBE calculation of a relaxed structure of SmEuAgPb, from Alexandria.

The value obtained for the formation energy is -0.4397 eV per atom. Its density of states at the Fermi level is 2.6077 states/eV per atom.

It has space group F-43m (No. 216), with a = 7.7156 Å, b = 7.7156 Å, c = 7.7156 Å, α = 90.00°, β = 90.00° and γ = 90.00°. The distinct sites, in fractional coordinates, are Sm at (0.0000, 0.0000, 0.0000), Eu at (0.0000, 0.0000, 0.5000), Ag at (0.2500, 0.2500, 0.2500) and Pb at (0.2500, 0.2500, 0.7500).



[6]
The following is a GGA-PBE calculation of a relaxed structure of SrEuAgPb, from Alexandria.

The value obtained for the formation energy is -0.4300 eV per atom. Its density of states at the Fermi level is 3.2446 states/eV per atom.

It has space group F-43m (No. 216), with a = 7.9345 Å, b = 7.9345 Å, c = 7.9345 Å, α = 90.00°, β = 90.00° and γ = 90.00°. The distinct sites, in fractional coordinates, are Sr at (0.0000, 0.0000, 0.0000), Eu at (0.0000, 0.0000, 0.5000), Ag at (0.2500, 0.2500, 0.2500) and Pb at (0.2500, 0.2500, 0.7500).



[7]
The following is a GGA-PBE calculation of a relaxed structure of EuTmAgPb, from Alexandria.

The value obtained for the formation energy is -0.4081 eV per atom. Its density of states at the Fermi level is 2.1270 states/eV per atom.

It has space group F-43m (No. 216), with a = 7.5933 Å, b = 7.5933 Å, c = 7.5933 Å, α = 90.00°, β = 90.00° and γ = 90.00°. The distinct sites, in fractional coordinates, are Eu at (0.0000, 0.0000, 0.0000), Tm at (0.0000, 0.0000, 0.5000), Ag at (0.2500, 0.2500, 0.7500) and Pb at (0.2500, 0.2500, 0.2500).



[8]
The following is a GGA-PBE calculation of a relaxed structure of EuZnAgPb, from Alexandria.

The value obtained for the formation energy is -0.2473 eV per atom. Its density of states at the Fermi level is 1.6695 states/eV per atom.

It has space group F-43m (No. 216), with a = 7.2647 Å, b = 7.2647 Å, c = 7.2647 Å, α = 90.00°, β = 90.00° and γ = 90.00°. The distinct sites, in fractional coordinates, are Eu at (0.0000, 0.0000, 0.0000), Zn at (0.2500, 0.2500, 0.7500), Ag at (0.2500, 0.2500, 0.2500) and Pb at (0.0000, 0.0000, 0.5000).



[9]
The following is a GGA-PBE calculation of a relaxed structure of Eu2AgPd, from Alexandria.

The value obtained for the formation energy is -0.4836 eV per atom. Its density of states at the Fermi level is 4.1023 states/eV per atom. The value obtained for the energy relative to the lowest polymorph listed for this composition is 0 kJ/mol of formula units.

It has space group P4/mmm (No. 123), with a = 3.6953 Å, b = 3.6953 Å, c = 7.5260 Å, α = 90.00°, β = 90.00° and γ = 90.00°. The distinct sites, in fractional coordinates, are Eu at (0.0000, 0.0000, 0.2338), Ag at (0.5000, 0.5000, 0.5000) and Pd at (0.5000, 0.5000, 0.0000).



[10]
The following is a GGA-PBE calculation of a relaxed structure of EuAgPd2, from Alexandria.

The value obtained for the formation energy is -0.3228 eV per atom. Its density of states at the Fermi level is 3.5882 states/eV per atom. The value obtained for the energy relative to the lowest polymorph listed for this composition is 53 kJ/mol of formula units.

It has space group P4/mmm (No. 123), with a = 3.5503 Å, b = 3.5503 Å, c = 6.3074 Å, α = 90.00°, β = 90.00° and γ = 90.00°. The distinct sites, in fractional coordinates, are Eu at (0.0000, 0.0000, 0.0000), Ag at (0.0000, 0.0000, 0.5000) and Pd at (0.5000, 0.5000, 0.2763).



[11]
The following is a GGA-PBE calculation of a relaxed structure of EuAgPd2, from Alexandria.

The value obtained for the formation energy is -0.3838 eV per atom. Its density of states at the Fermi level is 2.7890 states/eV per atom. The value obtained for the energy relative to the lowest polymorph listed for this composition is 30 kJ/mol of formula units.

It has space group Fm-3m (No. 225), with a = 6.8204 Å, b = 6.8204 Å, c = 6.8204 Å, α = 90.00°, β = 90.00° and γ = 90.00°. The distinct sites, in fractional coordinates, are Eu at (0.0000, 0.0000, 0.0000), Ag at (0.0000, 0.0000, 0.5000) and Pd at (0.2500, 0.2500, 0.2500).



[12]
The following is a GGA-PBE calculation of a relaxed structure of EuAgPd2, from Alexandria.

The value obtained for the formation energy is -0.4610 eV per atom. Its density of states at the Fermi level is 3.9758 states/eV per atom. The value obtained for the energy relative to the lowest polymorph listed for this composition is 0 kJ/mol of formula units.

It has space group P4/mmm (No. 123), with a = 4.3904 Å, b = 4.3904 Å, c = 3.9934 Å, α = 90.00°, β = 90.00° and γ = 90.00°. The distinct sites, in fractional coordinates, are Eu at (0.0000, 0.0000, 0.0000), Ag at (0.5000, 0.5000, 0.0000) and Pd at (0.0000, 0.5000, 0.5000).



[13]
The following is a GGA-PBE calculation of a relaxed structure of Eu2AgPd, from Alexandria.

The value obtained for the formation energy is -0.4724 eV per atom. Its density of states at the Fermi level is 4.2360 states/eV per atom. The value obtained for the energy relative to the lowest polymorph listed for this composition is 4 kJ/mol of formula units.

It has space group Fm-3m (No. 225), with a = 7.4320 Å, b = 7.4320 Å, c = 7.4320 Å, α = 90.00°, β = 90.00° and γ = 90.00°. The distinct sites, in fractional coordinates, are Eu at (0.2500, 0.2500, 0.2500), Ag at (0.0000, 0.0000, 0.0000) and Pd at (0.0000, 0.0000, 0.5000).



[14]
The following is a GGA-PBE calculation of a relaxed structure of EuAg4Pd, from Alexandria.

The value obtained for the formation energy is -0.1956 eV per atom. Its density of states at the Fermi level is 2.3378 states/eV per atom.

It has space group F-43m (No. 216), with a = 7.8719 Å, b = 7.8719 Å, c = 7.8719 Å, α = 90.00°, β = 90.00° and γ = 90.00°. The distinct sites, in fractional coordinates, are Eu at (0.0000, 0.0000, 0.0000), Ag at (0.1244, 0.1244, 0.6244) and Pd at (0.2500, 0.2500, 0.2500).



[15]
The following is a GGA-PBE calculation of a relaxed structure of PrEuAgPd, from Alexandria.

The value obtained for the formation energy is -0.4674 eV per atom. Its density of states at the Fermi level is 2.2342 states/eV per atom.

It has space group F-43m (No. 216), with a = 7.4137 Å, b = 7.4137 Å, c = 7.4137 Å, α = 90.00°, β = 90.00° and γ = 90.00°. The distinct sites, in fractional coordinates, are Pr at (0.0000, 0.0000, 0.0000), Eu at (0.0000, 0.0000, 0.5000), Ag at (0.2500, 0.2500, 0.7500) and Pd at (0.2500, 0.2500, 0.2500).



[16]
The following is a GGA-PBE calculation of a relaxed structure of EuPuAgPd, from Alexandria.

The value obtained for the formation energy is -0.2307 eV per atom. Its density of states at the Fermi level is 5.9288 states/eV per atom.

It has space group F-43m (No. 216), with a = 7.3062 Å, b = 7.3062 Å, c = 7.3062 Å, α = 90.00°, β = 90.00° and γ = 90.00°. The distinct sites, in fractional coordinates, are Eu at (0.0000, 0.0000, 0.0000), Pu at (0.0000, 0.0000, 0.5000), Ag at (0.2500, 0.2500, 0.2500) and Pd at (0.2500, 0.2500, 0.7500).